Entry 1:
HfSnHgGe2 meta-GGA SCAN PBEsol geometry; density of states at the Fermi level = 2.89 states/eV/f.u.; total energy = -40.464 eV per atom; ΔE_f = 0.5228 eV/atom; calculated density = 7.700 g/cm3; symmetry = P4/mmm (123)
1.0
-3.991 -2.261 2.193
1.225 -4.375 -2.282
3.062 -1.332 4.198
Hg Hf Ge Sn
1 1 2 1
direct
0.000 0.000 0.500
0.000 0.000 0.000
0.500 0.000 0.000
0.000 0.500 0.000
0.500 0.500 0.500

***

Entry 2:
HfTlHgGe2 meta-GGA SCAN PBEsol geometry; density of states at the Fermi level = 2.69 states/eV/f.u.; total energy = -47.939 eV per atom; ΔE_f = 0.3357 eV/atom; calculated density = 8.380 g/cm3; symmetry = P4/mmm (123)
1.0
5.108 0.000 0.000
0.000 5.108 0.000
0.000 0.000 5.534
Ge Tl Hg Hf
2 1 1 1
direct
0.500 0.000 0.000
0.000 0.500 0.000
0.500 0.500 0.500
0.000 0.000 0.500
0.000 0.000 0.000